VASP calculation (GGA-PBE) on a relaxed structure of Li6Pm2Pt3.

Properties
M_tot in Bohr magnetons per cell: 0.00
Formation energy in eV/atom: -0.5404
Crystal system: hexagonal
DOS at the Fermi energy in states/eV/f.u.: 4.07
Raw total energy in eV per formula unit: -45.05

Lattice parameters (Å, degrees): 7.753 7.753 3.970 90.00 90.00 120.00
Positions (direct):
Li: 0.000 0.258 0.000
Li: 0.000 0.792 0.500
Li: 0.208 0.208 0.500
Li: 0.258 0.000 0.000
Li: 0.742 0.742 0.000
Li: 0.792 0.000 0.500
Pm: 0.333 0.667 0.500
Pm: 0.667 0.333 0.500
Pt: 0.000 0.593 0.000
Pt: 0.407 0.407 0.000
Pt: 0.593 0.000 0.000